This record from Alexandria describes a relaxed structure of TlSe2Br. The functional is PBE.

Results
The electronic total energy comes out at -12.0 eV per cell. Its space group is Imm2. For the uncorrected formation energy, the calculation gives -0.24 eV/atom.

Lattice parameters (Å, degrees): 6.726 6.726 6.726 147.18 123.92 66.52
Fractional positions:
Tl: 0.000 0.000 0.000
Se: 0.427 0.927 0.500
Se: 0.575 0.575 0.000
Br: 0.774 0.274 0.500

---

This record from Alexandria describes a relaxed structure of CrMo4W. The functional is PBE.

Results
The electronic total energy comes out at -58.1 eV per cell. Its space group is Cmmm. Its energy relative to the elements is 1.303 eV per atom.

Lattice parameters (Å, degrees): 6.296 6.296 2.848 90.00 90.00 90.25
Fractional positions:
Cr: 0.000 0.000 0.000
Mo: 0.219 0.219 0.500
Mo: 0.255 0.745 0.000
Mo: 0.745 0.255 0.000
Mo: 0.781 0.781 0.500
W: 0.500 0.500 0.500

---

This record from Alexandria describes a relaxed structure of Na4Te3N4. The functional is PBE.

Results
The electronic total energy comes out at -42.8 eV per cell. Its space group is Immm. For the uncorrected formation energy, the calculation gives 0.47 eV/atom.

Lattice parameters (Å, degrees): 9.605 9.605 9.605 161.26 132.24 51.74
Fractional positions:
Na: 0.180 0.180 0.000
Na: 0.308 0.500 0.808
Na: 0.692 0.500 0.192
Na: 0.820 0.820 0.000
Te: 0.000 0.000 0.000
Te: 0.358 0.858 0.500
Te: 0.642 0.142 0.500
N: 0.159 0.339 0.820
N: 0.482 0.661 0.820
N: 0.518 0.339 0.180
N: 0.841 0.661 0.180

---

This record from Alexandria describes a relaxed structure of Cs3Cu2AuBr8. The functional is PBE.

Results
The electronic total energy comes out at -40.2 eV per cell. Its space group is P-3m1. For the uncorrected formation energy, the calculation gives -0.91 eV/atom.

Lattice parameters (Å, degrees): 7.616 7.616 10.116 90.00 90.00 120.00
Fractional positions:
Cs: 0.000 0.000 0.000
Cs: 0.333 0.667 0.639
Cs: 0.667 0.333 0.361
Cu: 0.333 0.667 0.221
Cu: 0.667 0.333 0.779
Au: 0.000 0.000 0.500
Br: 0.167 0.334 0.334
Br: 0.167 0.833 0.334
Br: 0.333 0.667 0.992
Br: 0.334 0.167 0.666
Br: 0.666 0.833 0.334
Br: 0.667 0.333 0.008
Br: 0.833 0.167 0.666
Br: 0.833 0.666 0.666

---

This record from Alexandria describes a relaxed structure of DyYIrO6. The functional is PBE.

Results
The electronic total energy comes out at -138.9 eV per cell. Its space group is P-31c. For the uncorrected formation energy, the calculation gives -2.20 eV/atom.

Lattice parameters (Å, degrees): 5.494 5.494 9.547 90.00 90.00 120.00
Fractional positions:
Dy: 0.333 0.667 0.250
Dy: 0.667 0.333 0.750
Y: 0.000 0.000 0.000
Y: 0.000 0.000 0.500
Ir: 0.333 0.667 0.750
Ir: 0.667 0.333 0.250
O: 0.042 0.369 0.634
O: 0.042 0.673 0.866
O: 0.327 0.369 0.866
O: 0.327 0.958 0.634
O: 0.369 0.042 0.134
O: 0.369 0.327 0.366
O: 0.631 0.673 0.634
O: 0.631 0.958 0.866
O: 0.673 0.042 0.366
O: 0.673 0.631 0.134
O: 0.958 0.327 0.134
O: 0.958 0.631 0.366

---

This record from Alexandria describes a relaxed structure of K4In2Au5. The functional is PBE.

Results
The electronic total energy comes out at -57.3 eV per cell. Its space group is Ibam. Its energy relative to the elements is -0.216 eV per atom.

Lattice parameters (Å, degrees): 12.259 12.259 12.259 133.31 55.42 151.85
Fractional positions:
K: 0.055 0.720 0.775
K: 0.145 0.114 0.259
K: 0.355 0.614 0.969
K: 0.445 0.220 0.665
K: 0.555 0.780 0.335
K: 0.645 0.386 0.031
K: 0.855 0.886 0.741
K: 0.945 0.280 0.225
In: 0.041 0.750 0.291
In: 0.459 0.750 0.709
In: 0.541 0.250 0.291
In: 0.959 0.250 0.709
Au: 0.098 0.422 0.520
Au: 0.222 0.783 0.005
Au: 0.250 0.250 0.000
Au: 0.278 0.283 0.561
Au: 0.402 0.922 0.324
Au: 0.598 0.078 0.676
Au: 0.722 0.717 0.439
Au: 0.750 0.750 0.000
Au: 0.778 0.217 0.995
Au: 0.902 0.578 0.480

---

Copy entry 3 word for word.
This record from Alexandria describes a relaxed structure of Na4Te3N4. The functional is PBE.

Results
The electronic total energy comes out at -42.8 eV per cell. Its space group is Immm. For the uncorrected formation energy, the calculation gives 0.47 eV/atom.

Lattice parameters (Å, degrees): 9.605 9.605 9.605 161.26 132.24 51.74
Fractional positions:
Na: 0.180 0.180 0.000
Na: 0.308 0.500 0.808
Na: 0.692 0.500 0.192
Na: 0.820 0.820 0.000
Te: 0.000 0.000 0.000
Te: 0.358 0.858 0.500
Te: 0.642 0.142 0.500
N: 0.159 0.339 0.820
N: 0.482 0.661 0.820
N: 0.518 0.339 0.180
N: 0.841 0.661 0.180

---

What is the electronic total energy in the second record?
-58.1 eV per cell

---

What is the electronic total energy in the first record?
-12.0 eV per cell

---

electronic total energy of number 2 (CrMo4W)?
-58.1 eV per cell